(a)
5
Lattice="4.870 0.000 0.000 0.000 4.870 0.000 0.000 0.000 4.870" Properties=species:S:1:pos:R:3 comment="GGA-PBE MgSc3Fe, relaxed" space_group="Pm-3m (221)" pbc="T T T"
Fe 0.000 0.000 0.000
Sc 0.000 0.000 2.435
Sc 2.435 0.000 0.000
Sc 0.000 2.435 0.000
Mg 2.435 2.435 2.435


(b)
10
Lattice="-3.066 -0.511 -0.115 0.547 -4.595 5.819 -1.351 6.852 5.538" Properties=species:S:1:pos:R:3 comment="GGA-PBE MgSc3Fe, relaxed" space_group="Pmma (51)" pbc="T T T"
Sc -1.012 3.078 5.677
Sc -0.596 -0.058 8.492
Sc -1.116 3.003 8.747
Sc -0.228 -0.905 2.458
Sc -0.493 0.016 5.421
Sc -0.030 -2.927 6.173
Mg -2.230 1.482 3.186
Mg -2.990 5.623 5.049
Fe -2.337 1.253 7.025
Fe -1.661 -2.174 4.256


Stability check: which of them is least stable? (a).


(a)
4
Lattice="3.750 0.000 0.000 0.000 3.750 0.000 0.000 0.000 4.232" Properties=species:S:1:pos:R:3 comment="GGA-PBE MgFe2Se, relaxed" space_group="P4/mmm (123)" pbc="T T T"
Fe 0.000 0.000 0.000
Fe 1.875 1.875 0.000
Mg 1.875 0.000 2.116
Se 0.000 1.875 2.116


(b)
8
Lattice="7.229 0.000 0.000 0.000 7.229 0.000 3.614 3.614 2.584" Properties=species:S:1:pos:R:3 comment="GGA-PBE MgFe2Se, relaxed" space_group="I-42d (122)" pbc="T T T"
Fe 1.446 5.421 0.646
Fe 5.421 5.060 1.938
Fe 9.036 9.397 1.938
Fe 5.783 1.807 0.646
Mg 3.614 7.229 1.292
Mg 3.614 3.614 0.000
Se 0.000 0.000 0.000
Se 7.229 3.614 1.292


Stability check: which of them is least stable? (b).


(a)
4
Lattice="8.275 0.004 0.002 7.746 2.910 0.002 7.746 1.409 2.546" Properties=species:S:1:pos:R:3 comment="GGA-PBE MgFe2Se, relaxed" space_group="R-3m (166)" pbc="T T T"
Fe 11.686 2.125 1.254
Fe 0.198 0.036 0.021
Mg 5.942 1.081 0.638
Se 17.825 3.242 1.913


(b)
4
Lattice="4.169 0.000 0.000 0.000 3.113 -0.013 0.000 0.316 4.887" Properties=species:S:1:pos:R:3 comment="GGA-PBE MgFe2Se, relaxed" space_group="P2/m (10)" pbc="T T T"
Fe 0.000 2.239 2.404
Fe 0.000 2.588 0.020
Mg 2.084 0.857 1.218
Se 2.084 2.571 3.655


Stability check: which of them is least stable? (a).


(a)
4
Lattice="5.125 0.023 -0.024 2.345 4.558 0.024 -3.439 -2.773 2.599" Properties=species:S:1:pos:R:3 comment="GGA-PBE MgFe2Se, relaxed" space_group="Immm (71)" pbc="T T T"
Se 1.320 2.038 1.311
Fe 0.082 0.050 0.000
Fe 3.653 2.240 0.000
Mg 2.711 -0.230 1.288


(b)
4
Lattice="4.344 -0.006 0.019 3.181 2.959 0.019 1.051 0.413 5.046" Properties=species:S:1:pos:R:3 comment="GGA-PBE MgFe2Se, relaxed" space_group="Cm (8)" pbc="T T T"
Mg 4.274 1.678 2.653
Fe 1.063 0.417 4.909
Fe 6.393 2.509 4.209
Se 2.186 0.858 0.902


Stability check: which of them is least stable? (a).


(a)
4
Lattice="-2.464 -0.993 -1.977 1.218 -3.080 0.029 -3.067 -1.172 4.411" Properties=species:S:1:pos:R:3 comment="GGA-PBE MgFe2Se, relaxed" space_group="P4/mmm (123)" pbc="T T T"
Se -2.924 -2.915 2.334
Fe -1.608 -0.614 2.313
Fe -2.993 -1.143 4.304
Mg -1.390 -2.329 0.129


(b)
4
Lattice="3.807 -1.227 1.093 0.578 -3.776 1.612 1.951 -2.919 -2.205" Properties=species:S:1:pos:R:3 comment="GGA-PBE MgFe2Se, relaxed" space_group="Fm-3m (225)" pbc="T T T"
Fe 4.752 -5.942 0.375
Fe 1.584 -1.981 0.125
Mg 0.000 0.000 0.000
Se 3.168 -3.961 0.250


Stability check: which of them is least stable? (b).


(a)
4
Lattice="5.006 -0.009 -0.006 2.121 4.535 0.006 -3.166 -2.890 2.587" Properties=species:S:1:pos:R:3 comment="GGA-PBE MgFe2Se, relaxed" space_group="Imm2 (44)" pbc="T T T"
Se 1.059 1.827 1.297
Fe 2.897 -0.194 1.290
Fe 0.014 0.009 0.000
Mg 3.555 2.258 0.000


(b)
4
Lattice="3.242 0.000 0.000 0.000 3.242 0.000 0.000 0.000 5.856" Properties=species:S:1:pos:R:3 comment="GGA-PBE MgFe2Se, relaxed" space_group="P4mm (99)" pbc="T T T"
Se 1.621 1.621 4.594
Fe 0.000 0.000 0.104
Fe 1.621 1.621 1.235
Mg 0.000 0.000 2.853


Stability check: which of them is least stable? (a).


(a)
4
Lattice="-2.177 -0.187 1.850 -0.242 -2.158 -1.866 4.484 -4.658 4.806" Properties=species:S:1:pos:R:3 comment="GGA-PBE MgFe2Se, relaxed" space_group="Cmmm (65)" pbc="T T T"
Fe 2.322 -2.411 2.488
Fe 4.405 -4.575 4.721
Se 2.153 -4.666 3.597
Mg -0.089 -2.337 1.194


(b)
4
Lattice="-1.507 -2.841 -0.868 2.595 -1.813 1.428 -1.481 -0.930 5.615" Properties=species:S:1:pos:R:3 comment="GGA-PBE MgFe2Se, relaxed" space_group="Pm (6)" pbc="T T T"
Se 0.659 -3.825 4.981
Fe -0.548 -1.988 1.064
Fe 1.962 -1.467 1.394
Mg 0.684 -1.489 3.683


(c)
4
Lattice="4.388 0.000 0.000 2.194 3.800 0.000 2.194 1.267 3.583" Properties=species:S:1:pos:R:3 comment="GGA-PBE MgFe2Se, relaxed" space_group="F-43m (216)" pbc="T T T"
Mg 4.388 2.533 1.791
Fe 2.194 1.267 0.896
Fe 0.000 0.000 0.000
Se 6.582 3.800 2.687


Stability check: which of them is least stable? (a).


(a)
3
Lattice="3.249 0.000 0.000 -1.625 2.814 0.000 0.000 0.000 5.718" Properties=species:S:1:pos:R:3 comment="GGA-PBE MgFeSe, relaxed" space_group="P3m1 (156)" pbc="T T T"
Se 0.000 1.876 4.186
Fe 0.000 0.000 5.489
Mg 1.625 0.938 1.760


(b)
3
Lattice="5.265 -0.085 0.093 4.317 3.014 0.100 0.948 0.282 3.086" Properties=species:S:1:pos:R:3 comment="GGA-PBE MgFeSe, relaxed" space_group="I4mm (107)" pbc="T T T"
Fe 1.167 0.349 3.013
Mg 3.866 1.176 2.109
Se 6.445 1.967 1.244


(c)
3
Lattice="-1.735 -0.318 -3.857 -2.105 -3.515 -1.095 -4.216 0.105 -0.444" Properties=species:S:1:pos:R:3 comment="GGA-PBE MgFeSe, relaxed" space_group="F-43m (216)" pbc="T T T"
Mg -4.028 -1.864 -2.697
Se -6.043 -2.796 -4.046
Fe 0.000 0.000 0.000


(d)
6
Lattice="3.985 0.000 0.000 0.000 3.985 0.000 0.000 0.000 5.976" Properties=species:S:1:pos:R:3 comment="GGA-PBE MgFeSe, relaxed" space_group="P4/nmm (129)" pbc="T T T"
Se 0.000 1.992 1.628
Se 1.992 0.000 4.347
Mg 0.000 1.992 4.865
Mg 1.992 0.000 1.110
Fe 1.992 1.992 2.988
Fe 0.000 0.000 2.988


Stability check: which of them is least stable? (c).